No. 1
ZnInSi2 | GGA-PBE | relaxed

Cell and atoms, written as POSCAR:
```
ZnInSi2
1.0
4.8129 0.0000 0.0000
0.0000 4.8129 0.0000
2.4064 2.4064 7.5555
Zn Si In
2 4 2
Cartesian
2.4064 2.4064 0.0000
2.4064 4.8129 3.7777
3.2590 1.2032 1.8889
6.0161 5.6655 5.6666
3.6097 3.9603 5.6666
1.5538 3.6097 1.8889
4.8129 2.4064 3.7777
0.0000 0.0000 0.0000
```

The crystal system is tetragonal. As for the total magnetization: 0.00 μB per cell. Its theoretical density is 4486 kg/m3. The uncorrected formation energy comes out at 0.41 eV/atom.

---

No. 2
ZnInSi3 | GGA-PBE | relaxed

Cell and atoms, written as POSCAR:
```
ZnInSi3
1.0
-3.8024 2.7361 0.7725
-2.8428 -3.6402 -1.0996
-0.0414 -1.3432 4.5536
Si In Zn
3 1 1
Cartesian
-0.0207 -0.6716 2.2768
-1.4214 -1.8201 -0.5498
-1.9012 1.3681 0.3863
-3.3433 -1.1236 2.1133
0.0000 0.0000 0.0000
```

The crystal system is cubic. As for the total magnetization: 0.00 μB per cell. Its theoretical density is 4104 kg/m3. The uncorrected formation energy comes out at 0.84 eV/atom. For the energy above the most stable polymorph in this dataset, the calculation gives 0 meV per atom.

---

No. 3
ZnIn4Si | GGA-PBE | relaxed

Cell and atoms, written as POSCAR:
```
ZnIn4Si
1.0
0.0000 4.2799 4.2799
4.2799 0.0000 4.2799
4.2799 4.2799 0.0000
In Zn Si
4 1 1
Cartesian
5.3488 5.3488 3.2111
5.3488 3.2111 5.3488
3.2111 5.3488 5.3488
3.2111 3.2111 3.2111
0.0000 0.0000 0.0000
6.4199 6.4199 6.4199
```

The crystal system is cubic. As for the total magnetization: 0.00 μB per cell. Its theoretical density is 5854 kg/m3. The uncorrected formation energy comes out at 0.49 eV/atom.

---

No. 4
ZnInSi2 | GGA-PBE | relaxed

Cell and atoms, written as POSCAR:
```
ZnInSi2
1.0
-2.4006 -1.1387 1.4936
0.1687 -2.5449 -1.6690
4.8819 -3.2148 5.3954
Zn Si In
1 2 1
Cartesian
0.1046 -2.6455 1.2612
0.2003 -0.1319 0.2214
2.2406 -1.4755 2.4763
2.5455 -4.2529 3.9589
```

The crystal system is tetragonal. As for the total magnetization: 0.00 μB per cell. Its theoretical density is 5312 kg/m3. The uncorrected formation energy comes out at 0.43 eV/atom.

---

No. 5
ZnInSi2 | GGA-PBE | relaxed

Cell and atoms, written as POSCAR:
```
ZnInSi2
1.0
3.8367 0.0000 0.0000
0.0000 3.9060 0.0000
0.0000 0.0000 4.9227
Zn Si In
1 2 1
Cartesian
1.9183 0.0000 2.4613
0.0000 0.0000 0.0000
1.9183 1.9530 0.0000
0.0000 1.9530 2.4613
```

The crystal system is orthorhombic. As for the total magnetization: 0.00 μB per cell. Its theoretical density is 5321 kg/m3. The uncorrected formation energy comes out at 0.44 eV/atom.

---

No. 6
ZnInSi | GGA-PBE | relaxed

Cell and atoms, written as POSCAR:
```
ZnInSi
1.0
4.1956 0.0000 0.0000
-2.0978 3.6335 0.0000
0.0000 0.0000 4.0879
Si Zn In
1 1 1
Cartesian
2.0978 1.2112 2.0695
0.0000 2.4224 2.0159
0.0000 0.0000 0.0025
```

The crystal system is trigonal. As for the total magnetization: 0.00 μB per cell. Its theoretical density is 5551 kg/m3. The uncorrected formation energy comes out at 0.25 eV/atom.

---

No. 7
Zn3In12Si5 | GGA-PBE | relaxed

Cell and atoms, written as POSCAR:
```
Zn3In12Si5
1.0
13.8957 0.0000 0.0000
-4.6319 13.1010 0.0000
-4.6319 -6.5505 11.3458
In Si Zn
48 20 12
Cartesian
1.9424 5.1487 7.6647
-0.8677 7.5135 4.4412
9.1948 -3.1981 7.0595
2.7411 4.9617 1.2317
-1.9424 -0.6136 5.0464
6.8788 11.8616 0.6265
-0.3735 0.7883 2.6183
-2.2469 -5.3111 10.7193
-1.4482 -3.3647 8.2913
7.3214 -0.7883 2.6183
-0.0690 4.4375 4.9128
9.3328 1.2394 0.6265
0.3735 7.9523 7.6647
5.0571 1.8611 10.5857
-1.8908 -0.2723 9.3540
2.2469 -2.1130 6.4330
8.8903 0.6136 5.0464
2.6895 1.4018 3.6811
-4.5629 9.7486 4.2863
4.2584 -1.4018 3.6811
2.3850 8.6635 4.9128
5.0054 5.7622 8.7275
-4.7009 5.3111 10.7193
-0.4252 4.6894 0.7601
8.3961 -4.3276 9.9592
2.7411 8.4116 0.7601
6.8788 3.3524 4.2863
1.8908 1.5888 10.1141
10.1315 3.1858 3.0546
1.8908 -1.8611 10.5857
6.0801 2.2229 1.3866
-2.6895 7.3388 8.7275
6.5743 7.1641 6.2994
-5.4996 3.3647 8.2913
3.1837 5.5875 4.4412
-4.2584 5.9369 6.2994
-0.4252 8.1393 1.2317
-2.2469 3.1981 7.0595
6.5227 6.8228 1.9918
4.7009 2.1130 6.4330
5.0571 -1.5888 10.1141
6.0801 9.9152 3.0546
5.4996 -0.9630 6.9046
-1.4482 4.3276 9.9592
9.6890 6.2782 1.9918
-5.0571 0.2723 9.3540
1.4482 0.9630 6.9046
-3.7642 10.8781 1.3866
8.1058 -0.8188 7.0911
2.3160 3.2753 5.6729
4.6319 6.5505 0.0000
3.4739 2.4564 1.4182
1.1580 4.0941 9.9276
-1.1580 0.8188 7.0911
5.7899 -4.0941 9.9276
3.4739 9.8258 2.8365
-3.4739 7.3693 4.2547
-1.1580 3.2753 2.8365
-2.3160 6.5505 0.0000
-4.6319 3.2753 5.6729
6.9479 0.0000 0.0000
5.7899 5.7317 4.2547
1.1580 -3.2753 8.5094
-1.1580 10.6446 1.4182
-2.3160 -3.2753 5.6729
0.0000 0.0000 0.0000
5.7899 3.2753 8.5094
4.6319 -3.2753 5.6729
5.7899 0.8188 4.2547
10.4218 0.0000 2.8365
-3.4739 2.4564 9.9276
8.1058 4.0941 1.4182
-5.7899 6.5505 8.5094
8.1058 9.0069 1.4182
3.4739 7.3693 7.0911
-3.4739 -2.4564 9.9276
3.4739 0.0000 8.5094
1.1580 -0.8188 4.2547
1.1580 6.5505 2.8365
-1.1580 5.7317 7.0911
```

The crystal system is cubic. As for the total magnetization: 0.00 μB per cell. Its theoretical density is 5513 kg/m3. The uncorrected formation energy comes out at 0.25 eV/atom.

---

No. 8
ZnInSi2 | GGA-PBE | relaxed

Cell and atoms, written as POSCAR:
```
ZnInSi2
1.0
5.7089 -0.2826 0.0000
-2.8119 4.9764 0.0000
0.0000 0.0000 2.7269
Si In Zn
2 1 1
Cartesian
0.0000 0.0000 0.0000
1.4485 2.3469 0.0000
-1.4060 2.4882 1.3635
2.8544 -0.1413 1.3635
```

The crystal system is orthorhombic. As for the total magnetization: 0.00 μB per cell. Its theoretical density is 5213 kg/m3. The uncorrected formation energy comes out at 0.47 eV/atom.

---

Calculated V in order - 21.9; 21.4; 26.1; 18.5; 18.4; 20.8; 25.8; 18.8 Å³ per atom